DFT (PBE) results for an optimized crystal structure of Sm5Dy2Sn5.

CIF file:
```
data_Sm5Dy2Sn5
_cell_length_a 7.7366
_cell_length_b 7.7366
_cell_length_c 12.7637
_cell_angle_alpha 108.84
_cell_angle_beta 108.84
_cell_angle_gamma 33.21
_symmetry_space_group_name_H-M 'P 1'
_symmetry_Int_Tables_number 1
loop_
_symmetry_equiv_pos_as_xyz
'x,y,z'
loop_
_atom_site_label
_atom_site_fract_x
_atom_site_fract_y
_atom_site_fract_z
Sm1 0.0000 0.0000 0.0000
Sm2 0.1598 0.1598 0.5396
Sm3 0.2263 0.2263 0.8450
Sm4 0.7737 0.7737 0.1550
Sm5 0.8402 0.8402 0.4604
Dy1 0.4487 0.4487 0.7138
Dy2 0.5513 0.5513 0.2862
Sn1 0.1970 0.1970 0.2940
Sn2 0.3844 0.3844 0.0732
Sn3 0.5000 0.5000 0.5000
Sn4 0.6156 0.6156 0.9268
Sn5 0.8030 0.8030 0.7060
```

Values from the calculation:
VASP energy ... -4.938 eV per atom
ΔH_f (0 K) ... -0.54 eV per atom